# 1
An optimized crystal structure of LiAc2WN4. Source: Alexandria, functional GGA-PBE.

Cell: 4.636 11.426 19.051 Å, 90.00 90.00 90.00°
Space group Fddd (No. 70, origin choice 2)
Inequivalent atoms, fractional coordinates:
1 Li 0.125 0.125 0.125
2 Ac 0.125 0.125 0.297
3 W 0.125 0.125 0.625
4 N 0.119 0.270 0.824

Calculated values
energy relative to the elements, uncorrected	-0.715	eV per atom
V	1009	Å³/cell

---

# 2
An optimized crystal structure of LiAc2W2N6. Source: Alexandria, functional GGA-PBE.

Cell: 6.1467 6.1467 17.2936 Å, 90.00 90.00 120.00°
Space group R-3m (No. 166, hexagonal axes)
Inequivalent atoms, fractional coordinates:
1 Li 0.0000 0.0000 0.0000
2 Ac 0.0000 0.0000 0.2006
3 W 0.0000 0.0000 0.4235
4 N 0.0138 0.5069 0.7562

Calculated values
energy relative to the elements, uncorrected	-0.440	eV per atom
V	566	Å³/cell